# CuHgSe2

A relaxed structure of CuHgSe2 (PBE, Alexandria via LeMat-Bulk).

Cell: 18.2579 4.3238 6.8775 Å, 90.00 132.89 90.00°
Atoms (fractional coordinates):
Se  0.9527  0.1644  0.7296
Se  0.3446  0.1953  0.6462
Cu  0.5364  0.8326  0.4056
Hg  0.7722  0.3135  0.5704
Cu  0.4636  0.1674  0.5944
Se  0.4527  0.3356  0.2296
Cu  0.9636  0.3326  0.0944
Se  0.8446  0.3047  0.1462
Cu  0.0364  0.6674  0.9056
Hg  0.2278  0.6865  0.4296
Se  0.0473  0.8356  0.2704
Se  0.1554  0.6953  0.8538
Hg  0.2722  0.1865  0.0704
Se  0.6554  0.8047  0.3538
Hg  0.7278  0.8135  0.9296
Se  0.5473  0.6644  0.7704

Properties
- raw total energy (eV per cell) = -46.6